VASP calculation (PBEsol) on crystalline Li2HgMo at its relaxed geometry.

DOS(E_F)	2.2	states/eV/f.u.
electronic total energy	-3.7668	eV per atom
formation energy	300	meV/atom
crystal system	monoclinic

a = 9.556 Å, b = 2.678 Å, c = 5.143 Å
α = 90.00°, β = 97.58°, γ = 90.00°
Atoms (fractional coordinates):
Li1 0.247 0.000 0.264
Li2 0.253 0.500 0.736
Li3 0.747 0.500 0.264
Li4 0.753 0.000 0.736
Hg1 0.000 0.500 0.000
Hg2 0.500 0.000 0.000
Mo1 0.000 0.000 0.500
Mo2 0.500 0.500 0.500